This record from the Alexandria database describes an optimized crystal structure of LaIr3W. The functional is GGA-PBE.

Values from the calculation:
- Energy relative to the elements: 249 kJ/mol of atoms
- Space group: Pm-3m
- DOS(E_F): 1.224 states/eV/atom

abc: 4.816 4.816 4.816
angles: 90.00 90.00 90.00
Sites, in units of the cell vectors:
Ir1 0.500 0.000 0.000
Ir2 0.000 0.500 0.000
Ir3 0.000 0.000 0.500
W1 0.500 0.500 0.500
La1 0.000 0.000 0.000


This record from the Alexandria database describes an optimized crystal structure of MgFeSb2Te. The functional is GGA-PBE.

Values from the calculation:
- Raw formation energy: 0.2607 eV/atom
- Space group: P4/mmm
- DOS(E_F): 0.379 states/eV/atom

abc: 4.757 4.757 5.861
angles: 90.00 90.00 90.00
Sites, in units of the cell vectors:
Sb1 0.500 0.000 0.000
Sb2 0.000 0.500 0.000
Mg1 0.500 0.500 0.500
Te1 0.000 0.000 0.500
Fe1 0.000 0.000 0.000


| no. | energy relative to the lowest polymorph listed for this composition (eV per atom) |
| --- | --- |
| 1 | 2.1409 |
| 2 | 0.0000 |